1.
First-principles (PBE-GGA) data for an optimized crystal structure of TmPu2Rh5, as listed in the Alexandria database.

## Properties
- Formation energy from the elements: -508 meV per atom

abc: 6.913 5.834 5.658
angles: 73.94 54.20 51.86
Fractional positions:
1 Tm 0.000 0.000 0.000
2 Pu 0.486 0.913 0.087
3 Pu 0.913 0.486 0.514
4 Rh 0.035 0.483 0.965
5 Rh 0.448 0.448 0.052
6 Rh 0.483 0.035 0.517
7 Rh 0.500 0.500 0.500
8 Rh 0.948 0.948 0.552



2.
First-principles (PBE-GGA) data for an optimized crystal structure of Pm8NdHo4, as listed in the Alexandria database.

## Properties
- Formation energy from the elements: 180 meV per atom

abc: 7.353 7.353 10.297
angles: 110.97 110.97 59.98
Fractional positions:
1 Pm 0.201 0.751 0.703
2 Pm 0.216 0.216 0.649
3 Pm 0.249 0.249 0.297
4 Pm 0.249 0.799 0.297
5 Pm 0.751 0.201 0.703
6 Pm 0.751 0.751 0.703
7 Pm 0.784 0.784 0.351
8 Pm 0.799 0.249 0.297
9 Nd 0.500 0.500 0.500
10 Ho 0.000 0.000 0.000
11 Ho 0.000 0.500 0.000
12 Ho 0.500 0.000 0.000
13 Ho 0.500 0.500 0.000



3.
First-principles (PBE-GGA) data for an optimized crystal structure of NaPuPbI6, as listed in the Alexandria database.

## Properties
- Uncorrected formation energy: -8.4 eV/f.u.

abc: 7.548 7.548 14.318
angles: 90.00 90.00 90.00
Fractional positions:
1 Na 0.000 0.000 0.000
2 Na 0.500 0.500 0.500
3 Pu 0.000 0.000 0.667
4 Pu 0.500 0.500 0.167
5 Pb 0.000 0.000 0.332
6 Pb 0.500 0.500 0.832
7 I 0.194 0.194 0.829
8 I 0.195 0.195 0.505
9 I 0.208 0.208 0.164
10 I 0.292 0.708 0.664
11 I 0.305 0.695 0.005
12 I 0.306 0.694 0.329
13 I 0.694 0.306 0.329
14 I 0.695 0.305 0.005
15 I 0.708 0.292 0.664
16 I 0.792 0.792 0.164
17 I 0.805 0.805 0.505
18 I 0.806 0.806 0.829



4.
First-principles (PBE-GGA) data for an optimized crystal structure of Pm2YAg3S6, as listed in the Alexandria database.

## Properties
- Uncorrected formation energy: -15.4 eV/f.u.

abc: 8.066 8.066 9.449
angles: 102.94 102.94 29.72
Fractional positions:
1 Pm 0.160 0.160 0.322
2 Pm 0.840 0.840 0.678
3 Y 0.500 0.500 0.000
4 Ag 0.163 0.163 0.739
5 Ag 0.500 0.500 0.500
6 Ag 0.837 0.837 0.261
7 S 0.018 0.018 0.813
8 S 0.324 0.324 0.865
9 S 0.343 0.343 0.463
10 S 0.657 0.657 0.537
11 S 0.676 0.676 0.135
12 S 0.982 0.982 0.187



5.
First-principles (PBE-GGA) data for an optimized crystal structure of TbH8Rh2, as listed in the Alexandria database.

## Properties
- Energy above the most stable polymorph in this dataset: 4.3 kJ per mole of atoms

abc: 4.377 4.377 4.782
angles: 90.00 90.00 90.00
Fractional positions:
1 Tb 0.000 0.000 0.000
2 H 0.282 0.282 0.306
3 H 0.282 0.282 0.694
4 H 0.282 0.718 0.306
5 H 0.282 0.718 0.694
6 H 0.718 0.282 0.306
7 H 0.718 0.282 0.694
8 H 0.718 0.718 0.306
9 H 0.718 0.718 0.694
10 Rh 0.000 0.500 0.500
11 Rh 0.500 0.000 0.500



6.
First-principles (PBE-GGA) data for an optimized crystal structure of CaGa, as listed in the Alexandria database.

## Properties
- Formation energy from the elements: -101 meV per atom

abc: 4.366 4.366 4.366
angles: 60.00 60.00 60.00
Fractional positions:
1 Ca 0.000 0.000 0.000
2 Ga 0.500 0.500 0.500



7.
First-principles (PBE-GGA) data for an optimized crystal structure of Ta2NbOs, as listed in the Alexandria database.

## Properties
- Formation energy from the elements: -319 meV per atom
- Energy above the most stable polymorph in this dataset: 0.0 kJ per mole of atoms

abc: 4.572 4.572 4.572
angles: 60.00 60.00 60.00
Fractional positions:
1 Ta 0.250 0.250 0.250
2 Ta 0.750 0.750 0.750
3 Nb 0.000 0.000 0.000
4 Os 0.500 0.500 0.500



8.
First-principles (PBE-GGA) data for an optimized crystal structure of Ce2AgAu, as listed in the Alexandria database.

## Properties
- Formation energy from the elements: -355 meV per atom

abc: 6.333 6.333 6.333
angles: 113.01 109.09 106.38
Fractional positions:
1 Ce 0.000 0.203 0.203
2 Ce 0.000 0.797 0.797
3 Ce 0.500 0.203 0.703
4 Ce 0.500 0.797 0.297
5 Ag 0.454 0.704 0.750
6 Ag 0.546 0.296 0.250
7 Au 0.050 0.300 0.750
8 Au 0.950 0.700 0.250



9.
First-principles (PBE-GGA) data for an optimized crystal structure of CsHg2RhF8, as listed in the Alexandria database.

## Properties
- Uncorrected formation energy: -18.4 eV/f.u.

abc: 9.776 9.776 9.776
angles: 36.36 36.36 36.36
Fractional positions:
1 Cs 0.000 0.000 0.000
2 Hg 0.250 0.250 0.250
3 Hg 0.750 0.750 0.750
4 Rh 0.500 0.500 0.500
5 F 0.160 0.589 0.612
6 F 0.326 0.326 0.326
7 F 0.388 0.411 0.840
8 F 0.411 0.840 0.388
9 F 0.589 0.612 0.160
10 F 0.612 0.160 0.589
11 F 0.674 0.674 0.674
12 F 0.840 0.388 0.411



10.
First-principles (PBE-GGA) data for an optimized crystal structure of Y4Tm, as listed in the Alexandria database.

## Properties
- Formation energy from the elements: 684 meV per atom
- Energy above the most stable polymorph in this dataset: 63.3 kJ per mole of atoms

abc: 5.663 5.663 5.663
angles: 90.00 90.00 90.00
Fractional positions:
1 Y 0.000 0.000 0.000
2 Y 0.000 0.500 0.500
3 Y 0.500 0.000 0.500
4 Y 0.500 0.500 0.000
5 Tm 0.500 0.500 0.500



11.
First-principles (PBE-GGA) data for an optimized crystal structure of RbPu2ScO8, as listed in the Alexandria database.

## Properties
- Uncorrected formation energy: -26.5 eV/f.u.

abc: 6.096 6.096 7.704
angles: 90.00 90.00 120.00
Fractional positions:
1 Rb 0.000 0.000 0.000
2 Pu 0.333 0.667 0.231
3 Pu 0.667 0.333 0.769
4 Sc 0.000 0.000 0.500
5 O 0.161 0.322 0.335
6 O 0.161 0.839 0.335
7 O 0.322 0.161 0.665
8 O 0.333 0.667 0.986
9 O 0.667 0.333 0.014
10 O 0.678 0.839 0.335
11 O 0.839 0.161 0.665
12 O 0.839 0.678 0.665



12.
First-principles (PBE-GGA) data for an optimized crystal structure of YTe2Rh, as listed in the Alexandria database.

## Properties
- Uncorrected formation energy: -1.8 eV/f.u.
- Energy above the most stable polymorph in this dataset: 35.6 kJ per mole of atoms

abc: 3.712 3.712 7.290
angles: 90.00 90.00 106.91
Fractional positions:
1 Y 0.000 0.000 0.000
2 Te 0.500 0.500 0.278
3 Te 0.500 0.500 0.722
4 Rh 0.000 0.000 0.500